# 1
3
Lattice="-1.8851 1.8851 5.9884 1.8851 -1.8851 5.9884 1.8851 1.8851 -5.9884" Properties=species:S:1:pos:R:3 comment="KInP (PBE, relaxed)" e_form_ev_per_atom=-0.06 energy_ev_per_atom=-3.144 mass_density_g_cm3=3.61 dos_at_fermi_per_ev_cell=1.89 pbc="T T T"
K 0.0000 0.0000 0.0000
In 0.0000 0.0000 3.3393
P 0.0000 0.0000 8.4866



# 2
4
Lattice="4.4419 0.0000 0.0000 0.0000 3.0768 0.0000 -1.9084 0.0000 4.7793" Properties=species:S:1:pos:R:3 comment="PIrCl2 (PBE, relaxed)" polymorph_energy_mev_per_atom=1568 energy_ev_per_atom=-3.585 mass_density_g_cm3=7.48 formation_energy_uncorrected_mev_per_atom=906 dos_at_fermi_per_ev_cell=2.27 pbc="T T T"
P 0.0000 0.0000 0.0000
Ir -0.9542 1.5384 2.3897
Cl 1.2667 0.0000 2.3897
Cl 2.2209 1.5384 0.0000



# 3
4
Lattice="2.3225 1.3409 8.1521 -2.3225 1.3409 8.1521 0.0000 -2.6818 8.1521" Properties=species:S:1:pos:R:3 comment="KS2I (PBE, relaxed)" polymorph_energy_mev_per_atom=339 energy_ev_per_atom=-2.418 mass_density_g_cm3=2.51 formation_energy_uncorrected_mev_per_atom=308 dos_at_fermi_per_ev_cell=2.75 pbc="T T T"
K 0.0000 0.0000 0.0000
S 0.0000 0.0000 2.9882
S 0.0000 0.0000 21.4682
I 0.0000 0.0000 12.2282



# 4
5
Lattice="5.9071 0.0000 0.0000 0.0000 5.9071 0.0000 0.0000 0.0000 4.8140" Properties=species:S:1:pos:R:3 comment="NaCaSc2Cl (PBE, relaxed)" energy_ev_per_atom=-3.080 mass_density_g_cm3=1.86 formation_energy_uncorrected_mev_per_atom=486 dos_at_fermi_per_ev_cell=6.08 pbc="T T T"
Na 0.0000 0.0000 0.0000
Ca 2.9535 2.9535 2.4070
Sc 0.0000 2.9535 0.0000
Sc 2.9535 0.0000 0.0000
Cl 0.0000 0.0000 2.4070